(1)
Material: CaGe3B
Method: DFT, SCAN
State: single point on PBEsol structure

Cell: 5.2334 5.2334 5.2334 Å, 90.00 90.00 90.00°
With the nearest neighbours (Å) after each atom.
Space group Pm-3m (No. 221)
One atom of each set of equivalent atoms:
1 Ca 0.0000 0.0000 0.0000 (multiplicity 1)  6 Ge 2.62
2 Ge 0.0000 0.0000 0.5000 (multiplicity 3)  2 Ca 2.62
3 B 0.5000 0.5000 0.5000 (multiplicity 1)  12 Ge 3.70

## Properties
Crystal system: cubic
Formation energy in kJ/mol of atoms: 195.3
DOS(E_F) in states/eV/cell: 2.81

***

(2)
Material: CaLaGeB2
Method: DFT, SCAN
State: single point on PBEsol structure

Cell: 4.4109 4.4109 5.2395 Å, 90.00 90.00 90.00°
With the nearest neighbours (Å) after each atom.
Space group P4/mmm (No. 123)
One atom of each set of equivalent atoms:
1 Ca 0.0000 0.0000 0.0000 (multiplicity 1)  4 La 3.12, 8 B 3.42
2 La 0.5000 0.5000 0.0000 (multiplicity 1)  2 Ge 2.62
3 Ge 0.5000 0.5000 0.5000 (multiplicity 1)  4 B 2.21
4 B 0.0000 0.5000 0.5000 (multiplicity 2)  2 Ge 2.21

## Properties
Crystal system: tetragonal
Formation energy in kJ/mol of atoms: 107.2
DOS(E_F) in states/eV/cell: 2.51

***

(3)
Material: Sr2CaGeB
Method: DFT, SCAN
State: single point on PBEsol structure

Cell: 6.5202 6.5202 3.8159 Å, 90.00 90.00 90.00°
With the nearest neighbours (Å) after each atom.
Space group P4/mmm (No. 123)
One atom of each set of equivalent atoms:
1 Sr 0.0000 0.5000 0.0000 (multiplicity 2)  2 Ge 3.26
2 Ca 0.0000 0.0000 0.5000 (multiplicity 1)  8 Sr 3.78, 2 Ca 3.82
3 Ge 0.5000 0.5000 0.0000 (multiplicity 1)  2 B 1.91
4 B 0.5000 0.5000 0.5000 (multiplicity 1)  2 Ge 1.91

## Properties
Crystal system: tetragonal
Formation energy in kJ/mol of atoms: 47.9
DOS(E_F) in states/eV/cell: 4.33

***

(4)
Material: Ca3BH
Method: DFT, SCAN
State: single point on PBEsol structure

Cell: 5.2114 5.2114 5.2114 Å, 90.00 90.00 90.00°
With the nearest neighbours (Å) after each atom.
Space group Pm-3m (No. 221)
One atom of each set of equivalent atoms:
1 Ca 0.0000 0.0000 0.5000 (multiplicity 3)  2 B 2.61
2 B 0.0000 0.0000 0.0000 (multiplicity 1)  6 Ca 2.61
3 H 0.5000 0.5000 0.5000 (multiplicity 1)  12 Ca 3.69

## Properties
Crystal system: cubic
Calculated total energy in eV per atom: -7.552
DOS(E_F) in states/eV/cell: 1.74